1.
VASP calculation (PBE) on crystalline CsCu2TcF8 at its relaxed geometry.

Lattice parameters (Å, degrees): 5.6498 5.6498 9.3156 72.35 72.35 60.00
Last column: nearest neighbours and their distance in Å.
Element x y z (fractional)
Cs (0.0000, 0.0000, 0.0000)  6 F 3.27
Cu (0.7457, 0.7457, 0.7629)  4 F 1.84-2.02
Cu (0.2543, 0.2543, 0.2371)  4 F 1.84-2.02
Tc (0.5000, 0.5000, 0.5000)  6 F 1.97
F (0.6756, 0.6756, 0.9733)  1 Cu 1.84
F (0.3244, 0.3244, 0.0267)  1 Cu 1.84
F (0.3827, 0.3827, 0.3663)  1 Tc 1.97, 1 Cu 2.02
F (0.6173, 0.6173, 0.6337)  1 Tc 1.97, 1 Cu 2.02
F (0.1317, 0.6173, 0.6337)  1 Tc 1.97, 1 Cu 2.02
F (0.3827, 0.8683, 0.3663)  1 Tc 1.97, 1 Cu 2.02
F (0.8683, 0.3827, 0.3663)  1 Tc 1.97, 1 Cu 2.02
F (0.6173, 0.1317, 0.6337)  1 Tc 1.97, 1 Cu 2.02

Properties
As for the uncorrected formation energy: -22.204 eV/f.u. As for the volume: 20.10 A^3/atom.

=====

2.
VASP calculation (PBE) on crystalline LiMnW2 at its relaxed geometry.

Lattice parameters (Å, degrees): 3.7169 3.8473 3.8473 90.00 90.00 90.00
Last column: nearest neighbours and their distance in Å.
Element x y z (fractional)
Li (0.5000, 0.5000, 0.0000)  8 W 2.67, 4 Mn 2.72
Mn (0.5000, 0.0000, 0.5000)  8 W 2.67, 4 Li 2.72
W (0.0000, 0.0000, 0.0000)  4 Mn 2.67, 4 Li 2.67, 4 W 2.72
W (0.0000, 0.5000, 0.5000)  4 Mn 2.67, 4 Li 2.67, 4 W 2.72

Properties
The value obtained for the formation energy is 1.85 eV/f.u. The value obtained for the relative energy among the computed polymorphs is 0.131 eV/atom. As for the volume: 13.75 A^3/atom.